Entry 1:
DFT (PBE-GGA) results for a geometry-optimized Sr3Pd structure.

Unit cell a=4.063 b=4.076 c=10.495 alpha=90.00 beta=90.00 gamma=90.00
Element x y z (fractional)
Sr 0.000 0.000 0.000
Sr 0.000 0.500 0.334
Sr 0.500 0.500 0.689
Pd 0.500 0.000 0.217

Computed properties:
Raw total energy: -0.101 Ha/atom


Entry 2:
DFT (PBE-GGA) results for a geometry-optimized LiGdScOs structure.

Unit cell a=4.778 b=4.778 c=4.778 alpha=60.00 beta=60.00 gamma=60.00
Element x y z (fractional)
Li 0.000 0.000 0.000
Gd 0.750 0.750 0.750
Sc 0.250 0.250 0.250
Os 0.500 0.500 0.500

Computed properties:
Raw total energy: -0.317 Ha/atom


Entry 3:
DFT (PBE-GGA) results for a geometry-optimized ZnNiAg2 structure.

Unit cell a=9.155 b=9.155 c=9.155 alpha=17.65 beta=17.65 gamma=17.65
Element x y z (fractional)
Zn 0.000 0.000 0.000
Ni 0.500 0.500 0.500
Ag 0.247 0.247 0.247
Ag 0.753 0.753 0.753

Computed properties:
Raw total energy: -0.113 Ha/atom


Entry 4:
DFT (PBE-GGA) results for a geometry-optimized KZnFe2 structure.

Unit cell a=5.812 b=5.812 c=2.647 alpha=101.08 beta=101.08 gamma=121.00
Element x y z (fractional)
K 0.000 0.000 0.000
Zn 0.500 0.500 0.000
Fe 0.000 0.500 0.500
Fe 0.500 0.000 0.500

Computed properties:
Raw total energy: -0.141 Ha/atom


Entry 5:
DFT (PBE-GGA) results for a geometry-optimized SmEr7Sc2 structure.

Unit cell a=8.699 b=8.699 c=5.543 alpha=90.00 beta=90.00 gamma=119.86
Element x y z (fractional)
Sm 0.000 0.000 0.000
Er 0.060 0.301 0.500
Er 0.239 0.761 0.000
Er 0.301 0.060 0.500
Er 0.500 0.500 0.500
Er 0.699 0.940 0.500
Er 0.761 0.239 0.000
Er 0.940 0.699 0.500
Sc 0.296 0.704 0.500
Sc 0.704 0.296 0.500

Computed properties:
Raw total energy: -0.157 Ha/atom


Entry 6:
DFT (PBE-GGA) results for a geometry-optimized PrMgAgPd structure.

Unit cell a=4.706 b=4.706 c=5.438 alpha=115.52 beta=115.52 gamma=59.97
Element x y z (fractional)
Pr 0.000 0.000 0.000
Mg 0.510 0.510 0.530
Ag 0.783 0.783 0.347
Pd 0.215 0.215 0.646

Computed properties:
Raw total energy: -0.151 Ha/atom


Entry 7:
DFT (PBE-GGA) results for a geometry-optimized Er2TmPuBi4 structure.

Unit cell a=7.739 b=4.469 c=7.741 alpha=90.00 beta=109.39 gamma=90.00
Element x y z (fractional)
Er 0.000 0.000 0.000
Er 0.500 0.500 0.000
Tm 0.000 0.500 0.500
Pu 0.500 0.000 0.500
Bi 0.246 0.500 0.247
Bi 0.247 0.000 0.751
Bi 0.753 0.000 0.249
Bi 0.754 0.500 0.753

Computed properties:
Raw total energy: -0.224 Ha/atom


Entry 8:
DFT (PBE-GGA) results for a geometry-optimized KCaS2Cl structure.

Unit cell a=5.281 b=5.281 c=5.493 alpha=90.00 beta=90.00 gamma=90.00
Element x y z (fractional)
K 0.000 0.000 0.000
Ca 0.500 0.500 0.500
S 0.000 0.500 0.000
S 0.500 0.000 0.000
Cl 0.000 0.000 0.500

Computed properties:
Formation energy (no corrections): -0.289 eV per atom
Energy relative to the lowest polymorph listed for this composition: 0.738 eV/atom